The following is a PBE calculation of a relaxed structure of Cd2H3ClO3, from Alexandria via LeMat-Bulk.

- E_tot (eV/cell) = -153.84
- DOS at the Fermi energy (states/eV per atom) = 0.00

Cell: 6.9234 7.6116 9.9996 Å, 90.00 90.00 90.00°
Closest atoms and distances in Å follow each position.
Fractional positions:
Cd 0.3180 0.7500 0.7658  5 O 2.31-2.38
Cd 0.8180 0.7500 0.7342  5 O 2.31-2.38
Cd 0.6820 0.2500 0.2342  5 O 2.31-2.38
Cd 0.1820 0.2500 0.2658  5 O 2.31-2.38
Cd 0.5000 0.0000 0.5000  4 O 2.27-2.28
Cd 0.0000 0.5000 0.0000  4 O 2.27-2.28
Cd 0.5000 0.5000 0.5000  4 O 2.27-2.28
Cd 0.0000 0.0000 0.0000  4 O 2.27-2.28
H 0.9169 0.9542 0.2785  1 O 0.98
H 0.4169 0.5458 0.2215  1 O 0.98
H 0.0831 0.4542 0.7215  1 O 0.98
H 0.5831 0.0458 0.7785  1 O 0.98
H 0.0831 0.0458 0.7215  1 O 0.98
H 0.5831 0.4542 0.7785  1 O 0.98
H 0.9169 0.5458 0.2785  1 O 0.98
H 0.4169 0.9542 0.2215  1 O 0.98
H 0.1953 0.7500 0.4872  1 O 0.98
H 0.6953 0.7500 0.0128  1 O 0.98
H 0.8047 0.2500 0.5128  1 O 0.98
H 0.3047 0.2500 0.9872  1 O 0.98
Cl 0.1885 0.2500 0.5425  3 H 2.48-2.67, 1 Cd 2.77
Cl 0.6885 0.2500 0.9575  3 H 2.48-2.67, 1 Cd 2.77
Cl 0.8115 0.7500 0.4575  3 H 2.48-2.67, 1 Cd 2.77
Cl 0.3115 0.7500 0.0425  3 H 2.48-2.67, 1 Cd 2.77
O 0.1763 0.2500 0.0276  1 H 0.98
O 0.6763 0.2500 0.4724  1 H 0.98
O 0.8237 0.7500 0.9724  1 H 0.98
O 0.3237 0.7500 0.5276  1 H 0.98
O 0.4356 0.0546 0.2812  1 H 0.98
O 0.9356 0.4454 0.2188  1 H 0.98
O 0.5644 0.5546 0.7188  1 H 0.98
O 0.0644 0.9454 0.7812  1 H 0.98
O 0.5644 0.9454 0.7188  1 H 0.98
O 0.0644 0.5546 0.7812  1 H 0.98
O 0.4356 0.4454 0.2812  1 H 0.98
O 0.9356 0.0546 0.2188  1 H 0.98